Version one
Crystalline Er2Tm2Tc at its relaxed geometry, computed with GGA-PBE.

* DOS at the Fermi energy: 9.9 states/eV/cell
* calculated volume: 27.909 Å³ per atom

POSCAR file:
```
Er2Tm2Tc
1.0
7.364 0.000 0.304
3.682 5.963 0.152
3.551 0.000 6.502
Er Tm Tc
4 4 2
direct
0.650 0.000 0.091
0.350 0.000 0.909
0.164 0.000 0.606
0.836 0.000 0.394
0.017 0.554 0.753
0.429 0.554 0.247
0.571 0.446 0.753
0.983 0.446 0.247
0.871 0.257 0.000
0.129 0.743 0.000
```

=====

Version two
Crystalline Er2Tm2Tc at its relaxed geometry, computed with GGA-PBE.

* DOS at the Fermi energy: 10.8 states/eV/cell
* calculated volume: 26.727 Å³ per atom

POSCAR file:
```
Er2Tm2Tc
1.0
-3.317 -1.437 1.282
-3.516 -1.453 -4.989
2.592 -11.574 -0.532
Er Tc Tm
4 2 4
direct
0.996 0.841 0.167
0.350 0.607 0.693
0.650 0.393 0.307
0.004 0.159 0.833
0.320 0.056 0.305
0.680 0.944 0.695
0.321 0.289 0.070
0.877 0.796 0.451
0.123 0.204 0.549
0.679 0.711 0.930
```

=====

It is version one that is the least stable of them.

=====

Version one
Crystalline Er2TmTc at its relaxed geometry, computed with GGA-PBE.

* DOS at the Fermi energy: 6.6 states/eV/cell
* calculated volume: 25.648 Å³ per atom

POSCAR file:
```
Er2TmTc
1.0
3.828 -0.161 0.000
-1.667 5.982 0.000
0.000 0.000 9.066
Er Tm Tc
4 2 2
direct
0.857 0.713 0.935
0.143 0.287 0.435
0.143 0.287 0.065
0.857 0.713 0.565
0.429 0.858 0.250
0.571 0.142 0.750
0.239 0.478 0.750
0.761 0.522 0.250
```

=====

Version two
Crystalline Er2TmTc at its relaxed geometry, computed with GGA-PBE.

* DOS at the Fermi energy: 5.4 states/eV/cell
* calculated volume: 25.564 Å³ per atom

POSCAR file:
```
Er2TmTc
1.0
3.440 0.000 0.000
0.000 3.440 0.000
0.000 0.000 8.641
Tc Er Tm
1 2 1
direct
0.500 0.500 0.000
0.000 0.000 0.188
0.000 0.000 0.812
0.500 0.500 0.500
```

=====

Version three
Crystalline Er2TmTc at its relaxed geometry, computed with GGA-PBE.

* DOS at the Fermi energy: 5.8 states/eV/cell
* calculated volume: 26.776 Å³ per atom

POSCAR file:
```
Er2TmTc
1.0
3.389 0.000 0.000
1.695 2.935 0.000
1.695 0.978 10.766
Tm Tc Er
1 1 2
direct
0.000 0.000 0.000
0.500 0.500 0.500
0.104 0.104 0.687
0.896 0.896 0.313
```

=====

It is version three that is the least stable of them.

=====

Version one
Crystalline YEr3Tc at its relaxed geometry, computed with GGA-PBE.

* DOS at the Fermi energy: 9.6 states/eV/cell
* calculated volume: 27.537 Å³ per atom

POSCAR file:
```
YEr3Tc
1.0
4.820 0.000 0.000
0.000 8.163 0.000
0.000 0.000 6.998
Y Er Tc
2 6 2
direct
0.250 0.750 0.574
0.750 0.250 0.426
0.250 0.250 0.764
0.250 0.451 0.177
0.750 0.750 0.236
0.750 0.951 0.823
0.250 0.049 0.177
0.750 0.549 0.823
0.250 0.750 0.978
0.750 0.250 0.022
```

=====

Version two
Crystalline YEr3Tc at its relaxed geometry, computed with GGA-PBE.

* DOS at the Fermi energy: 9.7 states/eV/cell
* calculated volume: 28.889 Å³ per atom

POSCAR file:
```
YEr3Tc
1.0
-0.099 5.817 4.289
-1.795 -5.714 4.046
6.460 -1.431 -2.897
Er Y Tc
6 2 2
direct
0.242 0.449 0.299
0.703 0.445 0.148
0.297 0.555 0.852
0.850 0.057 0.299
0.758 0.551 0.701
0.150 0.943 0.701
0.292 0.947 0.238
0.708 0.053 0.762
0.627 0.748 0.375
0.373 0.252 0.625
```

=====

Version three
Crystalline YEr3Tc at its relaxed geometry, computed with GGA-PBE.

* DOS at the Fermi energy: 8.1 states/eV/cell
* calculated volume: 30.484 Å³ per atom

POSCAR file:
```
YEr3Tc
1.0
-3.319 -2.979 -2.941
4.185 -2.414 -2.278
-0.059 -3.719 3.834
Y Er Tc
1 3 1
direct
0.500 0.500 0.500
0.000 0.500 0.000
0.500 0.000 0.000
0.000 0.000 0.500
0.000 0.000 0.000
```

=====

It is version three that is the least stable of them.